1.
Material: CaLaIr2
Method: DFT, PBE-GGA
State: optimized geometry

```
CaLaIr2
1.0
-2.430 -0.561 5.318
-4.628 -1.394 3.339
0.760 -4.925 1.228
Ca Ir La
1 2 1
Direct
0.725 0.725 0.812
0.965 0.965 0.973
0.285 0.285 0.272
0.526 0.526 0.442
```

Properties
The distance to the lowest polymorph of the same formula comes out at 0.315 eV per formula unit. The calculation puts the magnetization at 0.0 Bohr magnetons per cell. As for the space group: Cm, No. 8. The energy relative to the elements is -1.20 eV/f.u. Its density of states at the Fermi level is 0.46 states/eV per atom. The total energy is -6.46 eV/atom.

2.
Material: La3YPd2
Method: DFT, PBE-GGA
State: optimized geometry

```
La3YPd2
1.0
-2.802 2.133 1.879
-2.667 -4.485 1.112
6.819 0.541 5.323
La Y Pd
3 1 2
Direct
0.815 0.317 0.629
0.185 0.683 0.371
0.500 0.500 0.000
0.000 0.000 0.000
0.363 0.860 0.724
0.637 0.140 0.276
```

Properties
The calculation puts the magnetization at 0.0 Bohr magnetons per cell. As for the space group: C2/m, No. 12. The energy relative to the elements is -2.70 eV/f.u. Its density of states at the Fermi level is 1.24 states/eV per atom. The total energy is -5.72 eV/atom.

3.
Material: RbSbTe2Cl
Method: DFT, PBE-GGA
State: optimized geometry

```
RbSbTe2Cl
1.0
6.257 0.000 0.000
0.000 6.257 0.000
0.000 0.000 6.460
Cl Te Sb Rb
1 2 1 1
Direct
0.500 0.500 0.500
0.000 0.500 0.000
0.500 0.000 0.000
0.000 0.000 0.500
0.000 0.000 0.000
```

Properties
The distance to the lowest polymorph of the same formula comes out at 4.591 eV per formula unit. As for the formation energy from raw total energies: 104 kJ per mole of atoms. The calculation puts the magnetization at 0.4 Bohr magnetons per cell. As for the space group: P4/mmm, No. 123. Its density of states at the Fermi level is 2.50 states/eV per atom. The total energy is -1.57 eV/atom.

4.
Material: MgAlBr2
Method: DFT, PBE-GGA
State: optimized geometry

```
MgAlBr2
1.0
3.637 0.000 0.000
0.000 5.327 0.000
0.000 0.000 5.327
Br Mg Al
2 1 1
Direct
0.000 0.000 0.000
0.000 0.500 0.500
0.500 0.500 0.000
0.500 0.000 0.500
```

Properties
The distance to the lowest polymorph of the same formula comes out at 1.565 eV per formula unit. As for the formation energy from raw total energies: -24 kJ per mole of atoms. The calculation puts the magnetization at 0.0 Bohr magnetons per cell. As for the space group: P4/mmm, No. 123. Its density of states at the Fermi level is 0.44 states/eV per atom. The total energy is -2.42 eV/atom.

5.
Material: PrSm5Cd2
Method: DFT, PBE-GGA
State: optimized geometry

```
PrSm5Cd2
1.0
-5.075 -0.273 1.880
1.646 -4.855 -4.071
4.986 -8.554 12.217
Cd Sm Pr
4 10 2
Direct
0.777 0.554 0.139
0.223 0.446 0.639
0.223 0.446 0.861
0.777 0.554 0.361
0.454 0.908 0.750
0.546 0.092 0.250
0.642 0.285 0.971
0.358 0.715 0.029
0.642 0.285 0.529
0.040 0.081 0.107
0.960 0.919 0.893
0.040 0.081 0.393
0.358 0.715 0.471
0.960 0.919 0.607
0.270 0.540 0.250
0.730 0.460 0.750
```

Properties
The calculation puts the magnetization at 0.0 Bohr magnetons per cell. As for the space group: Cmcm, No. 63. The energy relative to the elements is -0.47 eV/f.u. Its density of states at the Fermi level is 1.38 states/eV per atom. The total energy is -3.83 eV/atom.

6.
Material: HoZrAl2
Method: DFT, PBE-GGA
State: optimized geometry

```
HoZrAl2
1.0
-2.415 0.812 -2.551
-1.319 -3.350 0.183
-4.218 1.912 4.602
Zr Al Ho
1 2 1
Direct
0.500 0.500 0.000
0.000 0.000 0.780
0.000 0.000 0.220
0.500 0.500 0.500
```

Properties
The distance to the lowest polymorph of the same formula comes out at 0.000 eV per formula unit. The calculation puts the magnetization at 0.0 Bohr magnetons per cell. As for the space group: P4/mmm, No. 123. The energy relative to the elements is -1.43 eV/f.u. Its density of states at the Fermi level is 0.90 states/eV per atom. The total energy is -5.51 eV/atom.

7.
Material: RbFe2H7
Method: DFT, PBE-GGA
State: optimized geometry

```
RbFe2H7
1.0
-0.473 -3.479 -0.314
0.266 0.410 -4.950
4.675 -0.878 2.678
H Rb Fe
7 1 2
Direct
0.500 0.011 0.670
0.500 0.989 0.330
0.500 0.659 0.670
0.000 0.327 0.655
0.500 0.341 0.330
0.500 0.500 0.000
0.000 0.673 0.345
0.000 0.000 0.000
0.500 0.310 0.621
0.500 0.690 0.379
```

Properties
The calculation puts the magnetization at 3.7 Bohr magnetons per cell. As for the space group: Cmmm, No. 65. Its density of states at the Fermi level is 0.70 states/eV per atom. The total energy is -4.00 eV/atom.

8.
Material: Fe2TeP
Method: DFT, PBE-GGA
State: optimized geometry

```
Fe2TeP
1.0
4.484 0.000 0.000
2.242 3.883 0.000
2.242 1.294 3.661
Te Fe P
1 2 1
Direct
0.250 0.250 0.250
0.000 0.000 0.000
0.750 0.750 0.750
0.500 0.500 0.500
```

Properties
The distance to the lowest polymorph of the same formula comes out at 3.080 eV per formula unit. As for the formation energy from raw total energies: 65 kJ per mole of atoms. The calculation puts the magnetization at 5.3 Bohr magnetons per cell. As for the space group: F-43m, No. 216. Its density of states at the Fermi level is 1.01 states/eV per atom. The total energy is -5.69 eV/atom.

9.
Material: AcDy2Ho9
Method: DFT, PBE-GGA
State: optimized geometry

```
AcDy2Ho9
1.0
5.038 0.000 0.000
0.000 5.038 0.000
0.000 0.000 15.143
Ho Ac Dy
9 1 2
Direct
0.000 0.500 0.500
0.500 0.000 0.174
0.500 0.000 0.500
0.500 0.000 0.826
0.000 0.500 0.174
0.500 0.500 0.663
0.500 0.500 0.337
0.000 0.500 0.826
0.500 0.500 0.000
0.000 0.000 0.000
0.000 0.000 0.664
0.000 0.000 0.336
```

Properties
The calculation puts the magnetization at 0.0 Bohr magnetons per cell. As for the space group: P4/mmm, No. 123. The energy relative to the elements is 0.46 eV/f.u. Its density of states at the Fermi level is 1.42 states/eV per atom. The total energy is -4.50 eV/atom.

10.
Material: Y2Tl2Zn
Method: DFT, PBE-GGA
State: optimized geometry

```
Y2Tl2Zn
1.0
-7.668 -1.578 1.598
-0.184 -5.226 -6.042
1.233 -3.215 2.743
Tl Y Zn
4 4 2
Direct
0.647 0.853 0.500
0.147 0.647 0.500
0.353 0.147 0.500
0.853 0.353 0.500
0.341 0.841 0.000
0.159 0.341 0.000
0.659 0.159 0.000
0.841 0.659 0.000
0.500 0.500 0.000
0.000 0.000 0.000
```

Properties
The distance to the lowest polymorph of the same formula comes out at 0.900 eV per formula unit. The calculation puts the magnetization at 0.0 Bohr magnetons per cell. As for the space group: P4/mbm, No. 127. The energy relative to the elements is -0.71 eV/f.u. Its density of states at the Fermi level is 0.59 states/eV per atom. The total energy is -3.93 eV/atom.

11.
Material: Pt3RhW2
Method: DFT, PBE-GGA
State: optimized geometry

```
Pt3RhW2
1.0
4.765 1.302 -1.571
0.742 4.883 -1.571
-0.909 -1.021 8.882
W Pt Rh
4 6 2
Direct
0.250 0.750 0.500
0.251 0.749 0.000
0.750 0.250 0.500
0.749 0.251 0.000
0.178 0.178 0.833
0.345 0.345 0.167
0.842 0.842 0.684
0.655 0.655 0.833
0.822 0.822 0.167
0.158 0.158 0.316
0.679 0.679 0.357
0.321 0.321 0.643
```

Properties
The calculation puts the magnetization at 0.0 Bohr magnetons per cell. As for the space group: Fmmm, No. 69. The energy relative to the elements is -0.56 eV/f.u. Its density of states at the Fermi level is 1.05 states/eV per atom. The total energy is -8.66 eV/atom.

12.
Material: TaZn2Se
Method: DFT, PBE-GGA
State: optimized geometry

```
TaZn2Se
1.0
-2.491 0.754 -5.398
2.473 -4.260 0.645
-2.581 -1.640 -0.929
Se Ta Zn
1 1 2
Direct
0.000 0.500 0.500
0.500 0.500 0.000
0.500 0.000 0.500
0.000 0.000 0.000
```

Properties
As for the formation energy from raw total energies: 9 kJ per mole of atoms. The calculation puts the magnetization at 0.0 Bohr magnetons per cell. As for the space group: Cmmm, No. 65. Its density of states at the Fermi level is 0.51 states/eV per atom. The total energy is -4.38 eV/atom.